Compound: Ca2TlFeO4
Source: Alexandria via LeMat-Bulk
Functional: GGA+U
Structure: optimized geometry

* DFT total energy: -5.82 eV/atom
* density of states at the Fermi level: 0.371 states/eV/atom

abc: 5.7321 3.4921 5.9253
angles: 90.00 107.41 90.00
Closest atoms and distances in Å follow each position.
Space group P2/m (No. 10)
Symmetry-distinct sites (fractional):
Ca: 0.0000 0.0000 0.0000 [1 per cell]  6 O 2.29-2.38
Ca: 0.0000 0.5000 0.5000 [1 per cell]  6 O 2.41-2.60
Tl: 0.5000 0.0000 0.5000 [1 per cell]  6 O 2.41-2.56
Fe: 0.5000 0.5000 0.0000 [1 per cell]  2 O 2.10
O: 0.2336 0.0000 0.7469 [2 per cell]  3 Ca 2.29-2.41, 1 Tl 2.41, 2 Fe 2.50
O: 0.2584 0.5000 0.2063 [2 per cell]  1 Fe 2.10